Entry from the Alexandria database: a relaxed structure of Fe2B2PbO7 (PBE with a Hubbard U).

Lattice parameters (Å, degrees): 9.018 9.018 9.018 32.81 32.81 32.81
Fractional coordinates of all 12 atoms:
Fe1 0.071 0.071 0.071
Fe2 0.929 0.929 0.929
B1 0.232 0.232 0.232
B2 0.768 0.768 0.768
Pb1 0.500 0.500 0.500
O1 0.000 0.000 0.000
O2 0.019 0.480 0.809
O3 0.191 0.520 0.981
O4 0.480 0.809 0.019
O5 0.520 0.981 0.191
O6 0.809 0.019 0.480
O7 0.981 0.191 0.520

Its crystal system is trigonal. The calculation puts the total energy at -7.054 eV per atom. For the density of states at the Fermi level, the calculation gives 0.0 states/eV/f.u. The calculation puts the total magnetization at 10.00 μB per formula unit. The value obtained for the volume is 15.96 A^3/atom.